A relaxed structure of SiGeB2. Source: Alexandria, functional PBE.

The structure belongs to space group I-42d (No. 122); the cell edges are 4.498, 4.498 and 10.612 Å and the angles 90.00°, 90.00° and 90.00°. The asymmetric unit holds Si at (0.000, 0.000, 0.000), Ge at (0.000, 0.000, 0.500) and B at (0.236, 0.250, 0.125).

The calculation puts the volume at 13.416 Å³ per atom. The value obtained for the energy above the lowest structure with this stoichiometry is 0.000 eV per atom.